Density functional theory data (PBE) for PaIn2Ga after structural relaxation.

Lattice parameters (Å, degrees): 3.6849 3.6849 6.9969 90.00 90.00 90.00
Atoms (fractional coordinates):
Pa1 0.0000 0.0000 0.0000
In1 0.5000 0.5000 0.2828
In2 0.5000 0.5000 0.7172
Ga1 0.0000 0.0000 0.5000

## Properties
Energy relative to the elements ... 0.04 eV/atom
Excess energy over the best structure of this formula in the dataset ... 0.2278 eV/atom
M_tot ... 0.44 μB/cell